YAl2Cu9 | PBE | relaxed

For the total magnetization, the calculation gives 0.00 μB/cell. The value obtained for the formation enthalpy at 0 K is -164.0 meV per atom. The value obtained for the uncorrected energy is -158.35 eV/cell.

The structure belongs to space group R-3m (No. 166, hexagonal axes); the cell edges are 4.9485, 4.9485 and 23.8705 Å and the angles 90.00°, 90.00° and 120.00°. The inequivalent atoms are Y at (0.0000, 0.0000, 0.0000), Al at (0.0000, 0.0000, 0.1446), Cu at (0.0000, 0.0000, 0.3340), Cu at (0.0000, 0.0000, 0.5000) and Cu at (0.0062, 0.5031, 0.9131).